{
  "formula": "Li2MnFeB2O6",
  "functional": "GGA+U",
  "state": "optimized geometry",
  "cell": [[5.229, -0.015, 0.004], [-2.619, 4.555, 0.000], [0.271, -0.584, 20.603]],
  "species": ["Fe", "O", "Li", "Li", "O", "O", "B", "O", "Mn", "Fe", "Li", "O", "O", "B", "B", "O", "O", "B", "O", "O", "B", "O", "Mn", "O", "Fe", "O", "Li", "O", "B", "Li", "O", "Li", "Li", "B", "O", "O", "O", "O", "Mn", "Fe", "O", "O", "O", "Mn", "B", "Li", "O", "O"],
  "fractional_positions": [[0.327, 0.998, 0.191], [0.905, 0.275, 0.557], [0.023, 0.678, 0.332], [0.011, 0.344, 0.205], [0.679, 0.749, 0.548], [0.917, 0.647, 0.682], [0.662, 0.999, 0.064], [0.919, 0.650, 0.181], [0.331, 0.326, 0.067], [0.671, 0.671, 0.943], [0.022, 0.678, 0.833], [0.607, 0.028, 0.925], [0.391, 0.417, 0.670], [0.339, 0.006, 0.438], [0.340, 0.339, 0.813], [0.094, 0.370, 0.805], [0.677, 0.929, 0.207], [0.662, 0.667, 0.687], [0.392, 0.418, 0.171], [0.089, 0.732, 0.430], [0.336, 0.005, 0.940], [0.319, 0.069, 0.797], [0.674, 0.000, 0.817], [0.320, 0.252, 0.961], [0.683, 0.003, 0.315], [0.676, 0.927, 0.708], [0.982, 0.656, 0.082], [0.081, 0.732, 0.933], [0.338, 0.338, 0.312], [0.988, 0.340, 0.460], [0.607, 0.576, 0.835], [0.987, 0.335, 0.961], [0.978, 0.656, 0.583], [0.663, 0.668, 0.187], [0.911, 0.273, 0.058], [0.602, 0.583, 0.332], [0.086, 0.361, 0.304], [0.318, 0.247, 0.462], [0.329, 0.324, 0.567], [0.324, 0.999, 0.691], [0.616, 0.042, 0.422], [0.326, 0.071, 0.297], [0.679, 0.746, 0.048], [0.665, 0.674, 0.442], [0.659, 0.000, 0.564], [0.012, 0.344, 0.707], [0.394, 0.971, 0.083], [0.389, 0.968, 0.584]],
  "e_tot_ev_per_atom": -7.02,
  "mass_density_g_cm3": 3.28,
  "sg": "P1",
  "magnetic_moment_mub_per_cell": 14.000
}